Entry from Alexandria via LeMat-Bulk: a crystal of BaNaNdGe3O9 relaxed with PBEsol (meta-GGA SCAN).

**Density of states at the Fermi level**: 0.00 states/eV per cell
**M_tot**: 0.0 μB per formula unit
**Formation energy without anion corrections**: -3523.1 kJ/mol of formula units

Cell: 5.868 11.674 12.882 Å, 90.00 90.00 90.00°
Element x y z (fractional)
1 Ge 0.890 0.204 0.688
2 Ge 0.899 0.589 0.616
3 Ge 0.902 0.861 0.640
4 Ge 0.399 0.911 0.384
5 Ge 0.098 0.361 0.860
6 Ge 0.101 0.089 0.884
7 Ge 0.110 0.704 0.812
8 Ge 0.610 0.796 0.188
9 Ge 0.601 0.411 0.116
10 Ge 0.390 0.296 0.312
11 Ge 0.598 0.139 0.140
12 Ge 0.402 0.639 0.360
13 O 0.140 0.198 0.617
14 O 0.869 0.118 0.190
15 O 0.143 0.311 0.383
16 O 0.614 0.268 0.061
17 O 0.114 0.232 0.939
18 O 0.461 0.037 0.066
19 O 0.039 0.963 0.566
20 O 0.886 0.732 0.561
21 O 0.631 0.882 0.690
22 O 0.881 0.335 0.763
23 O 0.357 0.689 0.883
24 O 0.124 0.599 0.711
25 O 0.619 0.665 0.263
26 O 0.640 0.302 0.383
27 O 0.131 0.618 0.310
28 O 0.381 0.165 0.237
29 O 0.002 0.492 0.528
30 O 0.386 0.768 0.439
31 O 0.876 0.099 0.789
32 O 0.376 0.401 0.211
33 O 0.643 0.189 0.617
34 O 0.369 0.382 0.810
35 O 0.361 0.063 0.825
36 O 0.624 0.901 0.289
37 O 0.502 0.008 0.472
38 O 0.860 0.698 0.883
39 O 0.360 0.802 0.117
40 O 0.857 0.811 0.117
41 O 0.539 0.537 0.434
42 O 0.119 0.835 0.737
43 O 0.998 0.992 0.972
44 O 0.139 0.937 0.325
45 O 0.498 0.508 0.028
46 O 0.639 0.563 0.675
47 O 0.861 0.437 0.175
48 O 0.961 0.463 0.934
49 Na 0.066 0.279 0.115
50 Na 0.434 0.721 0.615
51 Na 0.934 0.779 0.385
52 Na 0.566 0.221 0.885
53 Nd 0.118 0.964 0.143
54 Nd 0.382 0.036 0.643
55 Nd 0.882 0.464 0.357
56 Nd 0.618 0.536 0.857
57 Ba 0.894 0.114 0.418
58 Ba 0.394 0.386 0.582
59 Ba 0.606 0.886 0.918
60 Ba 0.106 0.614 0.082